No. 1
Material: ZnCrOs
Method: DFT, SCAN
State: single point on PBEsol structure

It has space group I4mm (No. 107), with a = 2.939 Å, b = 2.939 Å, c = 8.927 Å, α = 90.00°, β = 90.00° and γ = 90.00°. The asymmetric unit holds Zn at (0.000, 0.000, 0.000), Cr at (0.000, 0.000, 0.670) and Os at (0.000, 0.000, 0.316).

The calculation puts the energy relative to the elements at 0.04 eV/atom. The total energy is -103.65 eV/f.u. The size of the total moment comes out at 0.02 μB per formula unit. Its crystal system is tetragonal. The density comes out at 13.2 Mg/m³.



No. 2
Material: SrHg2W
Method: DFT, SCAN
State: single point on PBEsol structure

It has space group Fm-3m (No. 225), with a = 7.144 Å, b = 7.144 Å, c = 7.144 Å, α = 90.00°, β = 90.00° and γ = 90.00°. The asymmetric unit holds Sr at (0.000, 0.000, 0.000), Hg at (0.250, 0.250, 0.250) and W at (0.000, 0.000, 0.500).

The calculation puts the energy relative to the elements at 0.64 eV/atom. The total energy is -225.75 eV/f.u. The size of the total moment comes out at 2.57 μB per formula unit. Its crystal system is cubic. The density comes out at 12.3 Mg/m³.



No. 3
Material: NiTeIrN2
Method: DFT, SCAN
State: single point on PBEsol structure

It has space group P4/mmm (No. 123), with a = 3.651 Å, b = 3.651 Å, c = 5.475 Å, α = 90.00°, β = 90.00° and γ = 90.00°. The asymmetric unit holds Ni at (0.000, 0.000, 0.000), Te at (0.000, 0.000, 0.500), Ir at (0.500, 0.500, 0.500) and N at (0.000, 0.500, 0.000).

The total energy is -136.33 eV/f.u. The formation energy from raw total energies is 1.355 eV per atom. The size of the total moment comes out at 3.66 μB per formula unit. Its crystal system is tetragonal. The density comes out at 9.3 Mg/m³.



No. 4
Material: H8PdC2NCl3
Method: DFT, SCAN
State: single point on PBEsol structure

It has space group C2/c (No. 15), with a = 7.790 Å, b = 13.104 Å, c = 7.113 Å, α = 90.00°, β = 90.61° and γ = 90.00°. The asymmetric unit holds H at (0.010, 0.238, 0.467), H at (0.090, 0.082, 0.319), H at (0.153, 0.141, 0.009), H at (0.179, 0.242, 0.180), Pd at (0.000, 0.500, 0.000), C at (0.087, 0.192, 0.107), N at (0.000, 0.129, 0.250), Cl at (0.000, 0.391, 0.750) and Cl at (0.244, 0.068, 0.596).

The total energy is -120.22 eV/f.u. The size of the total moment comes out at 0.00 μB per formula unit. Its crystal system is monoclinic. The density comes out at 2.4 Mg/m³.



No. 5
Material: Zn5Mo
Method: DFT, SCAN
State: single point on PBEsol structure

It has space group Cmmm (No. 65), with a = 3.758 Å, b = 11.511 Å, c = 3.840 Å, α = 90.00°, β = 90.00° and γ = 90.00°. The asymmetric unit holds Zn at (0.000, 0.000, 0.000), Zn at (0.000, 0.171, 0.500), Zn at (0.000, 0.335, 0.000) and Mo at (0.000, 0.500, 0.500).

The calculation puts the energy relative to the elements at 0.00 eV/atom. The total energy is -102.46 eV/f.u. The size of the total moment comes out at 0.00 μB per formula unit. Its crystal system is orthorhombic. The density comes out at 8.5 Mg/m³.



No. 6
Material: Zr2NiP
Method: DFT, SCAN
State: single point on PBEsol structure

It has space group I-4m2 (No. 119), with a = 3.733 Å, b = 3.733 Å, c = 9.250 Å, α = 90.00°, β = 90.00° and γ = 90.00°. The asymmetric unit holds Zr at (0.000, 0.000, 0.000), Zr at (0.000, 0.500, 0.250), Ni at (0.000, 0.000, 0.500) and P at (0.000, 0.500, 0.750).

The calculation puts the energy relative to the elements at -0.62 eV/atom. The total energy is -90.46 eV/f.u. The size of the total moment comes out at 0.00 μB per formula unit. Its crystal system is tetragonal. The density comes out at 7.0 Mg/m³.



No. 7
Material: CeCu2Si2
Method: DFT, SCAN
State: single point on PBEsol structure

It has space group I4/mmm (No. 139), with a = 4.028 Å, b = 4.028 Å, c = 9.695 Å, α = 90.00°, β = 90.00° and γ = 90.00°. The asymmetric unit holds Ce at (0.000, 0.000, 0.000), Cu at (0.000, 0.500, 0.250) and Si at (0.000, 0.000, 0.379).

The total energy is -97.93 eV/f.u. The formation energy from raw total energies is -0.587 eV per atom. The size of the total moment comes out at 0.45 μB per formula unit. Its crystal system is tetragonal. The density comes out at 6.8 Mg/m³.



No. 8
Material: YSc2Rh2
Method: DFT, SCAN
State: single point on PBEsol structure

It has space group I4/mmm (No. 139), with a = 4.173 Å, b = 4.173 Å, c = 11.641 Å, α = 90.00°, β = 90.00° and γ = 90.00°. The asymmetric unit holds Y at (0.000, 0.000, 0.000), Sc at (0.000, 0.500, 0.250) and Rh at (0.000, 0.000, 0.391).

The calculation puts the energy relative to the elements at -0.83 eV/atom. The total energy is -128.02 eV/f.u. The size of the total moment comes out at 0.00 μB per formula unit. Its crystal system is tetragonal. The density comes out at 6.3 Mg/m³.